VASP calculation (PBE) on a geometry-optimized TmMgNi5 structure.

## Properties
* spin magnetization: 0.01 μB per formula unit
* ΔH_f (0 K): -318 meV/atom
* symmetry: No. 62

a b c (Å): 4.788 7.985 10.167
angles (deg): 90.00 90.00 90.00
Fractional coordinates of all 28 atoms:
Tm 0.250 0.250 0.940
Tm 0.750 0.250 0.440
Tm 0.250 0.750 0.560
Tm 0.750 0.750 0.060
Mg 0.250 0.864 0.861
Mg 0.750 0.636 0.361
Mg 0.250 0.364 0.639
Mg 0.750 0.136 0.139
Ni 0.250 0.585 0.016
Ni 0.750 0.915 0.516
Ni 0.250 0.085 0.484
Ni 0.750 0.415 0.984
Ni 0.750 0.312 0.759
Ni 0.250 0.188 0.259
Ni 0.750 0.812 0.741
Ni 0.250 0.688 0.241
Ni 0.250 0.953 0.103
Ni 0.750 0.547 0.603
Ni 0.250 0.453 0.397
Ni 0.750 0.047 0.897
Ni 0.998 0.431 0.190
Ni 0.002 0.069 0.690
Ni 0.502 0.931 0.310
Ni 0.498 0.569 0.810
Ni 0.002 0.569 0.810
Ni 0.998 0.931 0.310
Ni 0.498 0.069 0.690
Ni 0.502 0.431 0.190

VASP calculation (PBE) on a geometry-optimized Tm3Mg2Ni2 structure.

## Properties
* spin magnetization: 0.00 μB per formula unit
* ΔH_f (0 K): -248 meV/atom
* symmetry: No. 12

a b c (Å): 3.439 6.207 8.387
angles (deg): 115.64 90.00 106.08
Fractional coordinates of all 7 atoms:
Tm 0.500 0.000 0.000
Tm 0.615 0.230 0.441
Tm 0.385 0.770 0.559
Mg 0.831 0.662 0.177
Mg 0.169 0.338 0.823
Ni 0.824 0.647 0.763
Ni 0.176 0.353 0.237